# Dy11Ga9Co4, relaxed, DFT PBE-GGA
# Magnetization: 0.0 μB per formula unit
# Formation energy: -519.4 meV/atom
# Final energy: -237.51 eV for the cell shown
data_Dy11Ga9Co4
_chemical_formula_sum 'Dy22 Ga18 Co8'
_space_group_name_H-M_alt 'C m m m'
_space_group_IT_number 65
_space_group_name_Hall '-C 2 2'
_cell_length_a 13.719
_cell_length_b 20.508
_cell_length_c 3.572
_cell_angle_alpha 90.00
_cell_angle_beta 90.00
_cell_angle_gamma 90.00
loop_
_atom_site_label
_atom_site_fract_x
_atom_site_fract_y
_atom_site_fract_z
Dy1 0.000 0.000 0.000
Dy2 0.000 0.168 0.000
Dy3 0.000 0.375 0.000
Dy4 0.189 0.500 0.000
Dy5 0.244 0.170 0.000
Ga1 0.000 0.500 0.500
Ga2 0.102 0.269 0.500
Ga3 0.151 0.069 0.500
Co1 0.155 0.399 0.500